[1]
DFT (PBE) results for crystalline Si2TcTePb at its relaxed geometry.

ρ in g/cm3: 5.12
Formation energy from raw total energies in meV per atom: 1909
Final energy in eV/atom: -3.70

a b c (Å): 5.150 5.150 5.976
angles (deg): 90.00 90.00 90.00
Space group P4/mmm (No. 123)
Asymmetric unit:
Si 0.000 0.500 0.000
Tc 0.000 0.000 0.500
Te 0.500 0.500 0.500
Pb 0.500 0.500 0.000



[2]
DFT (PBE) results for crystalline Si2TePb at its relaxed geometry.

ρ in g/cm3: 7.08
Formation energy from raw total energies in meV per atom: 609
Final energy in eV/atom: -3.82

a b c (Å): 7.159 7.159 7.159
angles (deg): 90.00 90.00 90.00
Space group Fm-3m (No. 225)
Asymmetric unit:
Si 0.250 0.250 0.250
Te 0.000 0.000 0.000
Pb 0.000 0.000 0.500



[3]
DFT (PBE) results for crystalline SiTe2Pb at its relaxed geometry.

ρ in g/cm3: 6.18
Formation energy from raw total energies in meV per atom: 101
Final energy in eV/atom: -3.75

a b c (Å): 4.244 5.295 6.234
angles (deg): 90.00 109.85 90.00
Space group Pm (No. 6)
Asymmetric unit:
Si 0.000 0.000 0.000
Te 0.043 0.500 0.087
Te 0.789 0.000 0.561
Pb 0.319 0.500 0.647



[4]
DFT (PBE) results for crystalline Si2TePb at its relaxed geometry.

ρ in g/cm3: 6.50
Formation energy from raw total energies in meV per atom: 453
Final energy in eV/atom: -3.97

a b c (Å): 5.771 5.771 5.998
angles (deg): 90.00 90.00 90.00
Space group I4/mmm (No. 139)
Asymmetric unit:
Si 0.000 0.500 0.000
Te 0.000 0.000 0.000
Pb 0.000 0.000 0.500



[5]
DFT (PBE) results for crystalline Si2TePb at its relaxed geometry.

ρ in g/cm3: 6.65
Formation energy from raw total energies in meV per atom: 206
Final energy in eV/atom: -4.22

a b c (Å): 3.9974 3.9974 21.1658
angles (deg): 90.00 90.00 120.00
Space group R3m (No. 160, hexagonal axes)
Asymmetric unit:
Si 0.0000 0.0000 0.0000
Si 0.0000 0.0000 0.2940
Te 0.0000 0.0000 0.7601
Pb 0.0000 0.0000 0.5279



[6]
DFT (PBE) results for crystalline SiTe2Pb at its relaxed geometry.

ρ in g/cm3: 6.88
Formation energy from raw total energies in meV per atom: -55
Final energy in eV/atom: -3.91

a b c (Å): 4.3281 4.3281 21.8886
angles (deg): 90.00 90.00 120.00
Space group R-3m (No. 166, hexagonal axes)
Asymmetric unit:
Si 0.0000 0.0000 0.0000
Te 0.0000 0.0000 0.2623
Pb 0.0000 0.0000 0.5000